(1)
Fe4Pd5Au after structural relaxation, computed with PBE.

For the energy relative to the elements, the calculation gives -0.0647 eV/atom. The calculation puts the final energy at -6.3739 eV per atom.

It has space group P4/mmm (No. 123), with a = 2.750 Å, b = 2.750 Å, c = 19.127 Å, α = 90.00°, β = 90.00° and γ = 90.00°. Symmetry generates all atoms from Fe at (0.000, 0.000, 0.097), Fe at (0.000, 0.000, 0.292), Pd at (0.500, 0.500, 0.000), Pd at (0.500, 0.500, 0.194), Pd at (0.500, 0.500, 0.386) and Au at (0.000, 0.000, 0.500).



(2)
La5Pt2Rh2 after structural relaxation, computed with PBE.

For the energy relative to the elements, the calculation gives -0.8852 eV/atom. The calculation puts the final energy at -6.5987 eV per atom.

It has space group Cmce (No. 64), with a = 15.170 Å, b = 7.905 Å, c = 7.843 Å, α = 90.00°, β = 90.00° and γ = 90.00°. Symmetry generates all atoms from La at (0.000, 0.000, 0.000), La at (0.136, 0.173, 0.335), Pt at (0.203, 0.000, 0.000) and Rh at (0.000, 0.133, 0.631).



(3)
Cs2P2H2O7 after structural relaxation, computed with PBE.

The calculation puts the final energy at -6.1592 eV per atom.

It has space group C2/c (No. 15), with a = 8.204 Å, b = 9.111 Å, c = 11.670 Å, α = 90.00°, β = 90.36° and γ = 90.00°. Symmetry generates all atoms from Cs at (0.003, 0.230, 0.020), P at (0.183, 0.484, 0.738), H at (0.199, 0.201, 0.742), O at (0.000, 0.443, 0.250), O at (0.191, 0.343, 0.807), O at (0.211, 0.104, 0.696) and O at (0.222, 0.477, 0.612).